(1)
# TbPr5Cd4

An optimized crystal structure of TbPr5Cd4 (PBE, the Alexandria database).

```
TbPr5Cd4
1.0
-3.5194 1.4691 -0.3390
-1.4306 -2.9820 1.9289
2.5750 10.2741 17.7933
Tb Pr Cd
1 5 4
direct
0.0000 0.0000 0.0000
0.5000 0.5000 0.1173
0.5000 0.5000 0.3092
0.5000 0.5000 0.5000
0.5000 0.5000 0.6908
0.5000 0.5000 0.8827
0.0000 0.0000 0.2116
0.0000 0.0000 0.4044
0.0000 0.0000 0.5956
0.0000 0.0000 0.7884
```

Symmetry: P4/mmm (123)
Total magnetization: 1.0 μB/f.u.
Density of states at the Fermi level: 1.255 states/eV/atom
Formation energy from the elements: -0.241 eV/atom

---

(2)
# CsRbS2

An optimized crystal structure of CsRbS2 (PBE, the Alexandria database).

```
CsRbS2
1.0
-2.3156 -2.0330 -3.2500
3.0726 -3.2547 -0.1532
-3.5241 -3.5495 4.7313
Cs S Rb
1 2 1
direct
0.5000 0.5000 0.5000
0.0000 0.0000 0.8437
0.0000 0.0000 0.1563
0.5000 0.5000 0.0000
```

Symmetry: P4/mmm (123)
Total magnetization: 0.0 μB/f.u.
ΔE to the lowest computed polymorph: 0.055 eV per atom
Energy relative to the elements, uncorrected: -0.82 eV per atom

---

(3)
# Tl3Hg2H4

An optimized crystal structure of Tl3Hg2H4 (PBE, the Alexandria database).

```
Tl3Hg2H4
1.0
-1.7110 5.3390 3.3793
-8.8199 0.4412 -1.4350
-7.2742 -2.7655 4.4138
Tl Hg H
6 4 8
direct
0.1137 0.9825 0.8112
0.3863 0.1888 0.0175
0.8863 0.0175 0.1888
0.6137 0.8112 0.9825
0.2500 0.5581 0.4419
0.7500 0.4419 0.5581
0.5144 0.7844 0.6326
0.9856 0.3674 0.2156
0.4856 0.2156 0.3674
0.0144 0.6326 0.7844
0.3397 0.2263 0.5907
0.1603 0.4093 0.7737
0.6603 0.7737 0.4093
0.8397 0.5907 0.2263
0.0113 0.8425 0.5076
0.4887 0.4924 0.1575
0.9887 0.1575 0.4924
0.5113 0.5076 0.8425
```

Symmetry: C2/c (15)
Total magnetization: 0.0 μB/f.u.
Density of states at the Fermi level: 0.179 states/eV/atom
Total energy: -36.6 eV/cell

---

> Which value of total magnetization does entry 2 give?

0.0 μB/f.u.

---

> total magnetization of number 3 (Tl3Hg2H4)?

0.0 μB/f.u.

---

> total magnetization of number 2 (CsRbS2)?

0.0 μB/f.u.